DFT (PBE-GGA) results for CsLuCoTe3 after structural relaxation.

POSCAR file:
```
CsLuCoTe3
1.0
17.579 0.000 0.000
0.000 4.223 0.000
0.000 0.000 11.376
Co Cs Lu Te
4 4 4 12
Direct
0.989 0.750 0.085
0.489 0.750 0.415
0.511 0.250 0.585
0.011 0.250 0.915
0.765 0.250 0.013
0.265 0.250 0.487
0.735 0.750 0.513
0.235 0.750 0.987
0.479 0.250 0.154
0.979 0.250 0.346
0.021 0.750 0.654
0.521 0.750 0.846
0.594 0.750 0.082
0.070 0.250 0.114
0.879 0.750 0.238
0.379 0.750 0.262
0.570 0.250 0.386
0.094 0.750 0.418
0.906 0.250 0.582
0.430 0.750 0.614
0.621 0.250 0.738
0.121 0.250 0.762
0.930 0.750 0.886
0.406 0.250 0.918
```

Crystal system   orthorhombic
Relative energy among the computed polymorphs   0.000 eV per atom
Theoretical density   5.90 g cm⁻³
Space group   No. 62
Magnetic moment   0.33 μB per atom